Entry 1:
DFT (GGA-PBE) results for Ac8SiGe6 after structural relaxation.

Cell lengths 10.121, 10.121, 8.335 Å; angles 52.62, 52.62, 60.00 degrees
Fractional positions:
1 Ac 0.677 0.184 0.284
2 Ac 0.816 0.145 0.716
3 Ac 0.145 0.323 0.716
4 Ac 0.696 0.696 0.912
5 Ac 0.304 0.304 0.088
6 Ac 0.855 0.677 0.284
7 Ac 0.184 0.855 0.284
8 Ac 0.323 0.816 0.716
9 Si 0.000 0.000 0.000
10 Ge 0.475 0.075 0.820
11 Ge 0.925 0.371 0.180
12 Ge 0.371 0.525 0.180
13 Ge 0.629 0.475 0.820
14 Ge 0.075 0.629 0.820
15 Ge 0.525 0.925 0.180

As for the energy relative to the elements, uncorrected: -0.588 eV/atom.

***

Entry 2:
DFT (GGA-PBE) results for Ac3Si4Ge after structural relaxation.

Cell lengths 4.779, 5.857, 8.913 Å; angles 109.18, 105.55, 90.00 degrees
Fractional positions:
1 Ac 0.189 0.189 0.378
2 Ac 0.811 0.811 0.622
3 Ac 0.000 0.500 0.000
4 Si 0.377 0.577 0.755
5 Si 0.623 0.423 0.245
6 Si 0.623 0.822 0.245
7 Si 0.377 0.178 0.755
8 Ge 0.500 0.000 0.000

As for the energy relative to the elements, uncorrected: -0.367 eV/atom.

***

Entry 3:
DFT (GGA-PBE) results for Ac6Si2Ge after structural relaxation.

Cell lengths 6.305, 7.155, 8.509 Å; angles 81.04, 68.25, 63.86 degrees
Fractional positions:
1 Ac 0.710 0.712 0.868
2 Ac 0.290 0.288 0.132
3 Ac 0.973 0.859 0.194
4 Ac 0.408 0.746 0.438
5 Ac 0.027 0.141 0.806
6 Ac 0.592 0.254 0.562
7 Si 0.265 0.637 0.834
8 Si 0.735 0.363 0.166
9 Ge 0.000 0.500 0.500

As for the energy relative to the elements, uncorrected: -0.286 eV/atom. The relative energy among the computed polymorphs is 124.2 meV/atom.

***

Entry 4:
DFT (GGA-PBE) results for Ac3Si2Ge3 after structural relaxation.

Cell lengths 4.439, 6.233, 16.525 Å; angles 90.00, 90.00, 110.86 degrees
Fractional positions:
1 Ac 0.851 0.703 0.412
2 Ac 0.149 0.297 0.912
3 Ac 0.851 0.703 0.088
4 Ac 0.149 0.297 0.588
5 Ac 0.557 0.113 0.250
6 Ac 0.443 0.887 0.750
7 Si 0.857 0.714 0.877
8 Si 0.143 0.286 0.377
9 Si 0.857 0.714 0.623
10 Si 0.143 0.286 0.123
11 Ge 0.573 0.145 0.441
12 Ge 0.427 0.855 0.941
13 Ge 0.573 0.145 0.059
14 Ge 0.427 0.855 0.559
15 Ge 0.275 0.550 0.250
16 Ge 0.725 0.450 0.750

As for the energy relative to the elements, uncorrected: -0.577 eV/atom.

***

Entry 5:
DFT (GGA-PBE) results for Ac2Si3Ge after structural relaxation.

Cell lengths 6.276, 6.276, 8.631 Å; angles 110.13, 110.13, 93.05 degrees
Fractional positions:
1 Ac 0.750 0.250 0.500
2 Ac 0.751 0.249 0.000
3 Ac 0.250 0.750 0.500
4 Ac 0.249 0.751 0.000
5 Si 0.838 0.838 0.161
6 Si 0.677 0.677 0.839
7 Si 0.162 0.162 0.839
8 Si 0.323 0.323 0.161
9 Si 0.161 0.161 0.322
10 Si 0.839 0.839 0.678
11 Ge 0.666 0.666 0.332
12 Ge 0.334 0.334 0.668

As for the energy relative to the elements, uncorrected: -0.542 eV/atom.

***

Entry 6:
DFT (GGA-PBE) results for Ac3Si4Ge4 after structural relaxation.

Cell lengths 4.527, 7.051, 9.363 Å; angles 112.12, 103.99, 90.00 degrees
Fractional positions:
1 Ac 0.159 0.159 0.317
2 Ac 0.841 0.841 0.683
3 Ac 0.000 0.500 0.000
4 Si 0.361 0.192 0.721
5 Si 0.639 0.471 0.279
6 Si 0.639 0.808 0.279
7 Si 0.361 0.529 0.721
8 Ge 0.193 0.693 0.386
9 Ge 0.807 0.307 0.614
10 Ge 0.500 0.823 0.000
11 Ge 0.500 0.177 0.000

As for the energy relative to the elements, uncorrected: -0.400 eV/atom.

***

Entry 7:
DFT (GGA-PBE) results for Ac3SiGe2 after structural relaxation.

Cell lengths 8.126, 8.126, 8.126 Å; angles 62.62, 62.62, 62.62 degrees
Fractional positions:
1 Ac 0.431 0.069 0.750
2 Ac 0.069 0.750 0.431
3 Ac 0.750 0.431 0.069
4 Ac 0.569 0.931 0.250
5 Ac 0.931 0.250 0.569
6 Ac 0.250 0.569 0.931
7 Si 0.500 0.500 0.500
8 Si 0.000 0.000 0.000
9 Ge 0.347 0.347 0.347
10 Ge 0.153 0.153 0.153
11 Ge 0.847 0.847 0.847
12 Ge 0.653 0.653 0.653

As for the energy relative to the elements, uncorrected: -0.564 eV/atom. The relative energy among the computed polymorphs is 37.3 meV/atom.

***

Entry 8:
DFT (GGA-PBE) results for Ac8Si5Ge after structural relaxation.

Cell lengths 8.414, 8.414, 8.414 Å; angles 109.50, 109.41, 109.50 degrees
Fractional positions:
1 Ac 0.124 0.751 0.006
2 Ac 0.994 0.119 0.745
3 Ac 0.753 0.250 0.374
4 Ac 0.626 0.379 0.875
5 Ac 0.496 0.621 0.247
6 Ac 0.627 0.881 0.876
7 Ac 0.255 0.249 0.373
8 Ac 0.125 0.750 0.504
9 Si 0.000 0.374 0.125
10 Si 0.875 0.875 0.249
11 Si 0.751 0.626 0.625
12 Si 0.500 0.000 0.500
13 Si 0.375 0.125 0.000
14 Ge 0.250 0.500 0.750

As for the energy relative to the elements, uncorrected: -0.555 eV/atom.

***

Entry 9:
DFT (GGA-PBE) results for Ac4Si2Ge after structural relaxation.

Cell lengths 5.064, 5.064, 11.099 Å; angles 76.81, 76.81, 60.00 degrees
Fractional positions:
1 Ac 0.379 0.379 0.862
2 Ac 0.202 0.202 0.394
3 Ac 0.798 0.798 0.606
4 Ac 0.621 0.621 0.138
5 Si 0.095 0.095 0.716
6 Si 0.905 0.905 0.284
7 Ge 0.000 0.000 0.000

As for the energy relative to the elements, uncorrected: -0.434 eV/atom.

***

Entry 10:
DFT (GGA-PBE) results for Ac2SiGe3 after structural relaxation.

Cell lengths 6.327, 6.327, 8.964 Å; angles 110.84, 110.84, 89.53 degrees
Fractional positions:
1 Ac 0.250 0.750 0.500
2 Ac 0.750 0.750 0.000
3 Ac 0.750 0.250 0.500
4 Ac 0.250 0.250 0.000
5 Si 0.333 0.333 0.666
6 Si 0.667 0.667 0.334
7 Ge 0.657 0.172 0.829
8 Ge 0.828 0.343 0.171
9 Ge 0.343 0.828 0.171
10 Ge 0.172 0.657 0.829
11 Ge 0.828 0.828 0.656
12 Ge 0.172 0.172 0.344

As for the energy relative to the elements, uncorrected: -0.582 eV/atom. The relative energy among the computed polymorphs is 0.0 meV/atom.

***

Entry 11:
DFT (GGA-PBE) results for Ac12SiGe6 after structural relaxation.

Cell lengths 9.194, 9.194, 9.194 Å; angles 99.60, 99.60, 99.60 degrees
Fractional positions:
1 Ac 0.815 0.579 0.438
2 Ac 0.438 0.815 0.579
3 Ac 0.579 0.438 0.815
4 Ac 0.185 0.421 0.562
5 Ac 0.562 0.185 0.421
6 Ac 0.421 0.562 0.185
7 Ac 0.072 0.951 0.326
8 Ac 0.049 0.674 0.928
9 Ac 0.674 0.928 0.049
10 Ac 0.928 0.049 0.674
11 Ac 0.951 0.326 0.072
12 Ac 0.326 0.072 0.951
13 Si 0.000 0.000 0.000
14 Ge 0.696 0.872 0.384
15 Ge 0.616 0.304 0.128
16 Ge 0.128 0.616 0.304
17 Ge 0.304 0.128 0.616
18 Ge 0.384 0.696 0.872
19 Ge 0.872 0.384 0.696

As for the energy relative to the elements, uncorrected: -0.444 eV/atom.

***

Entry 12:
DFT (GGA-PBE) results for Ac12Si5Ge2 after structural relaxation.

Cell lengths 8.314, 9.709, 10.275 Å; angles 104.59, 90.00, 115.35 degrees
Fractional positions:
1 Ac 0.953 0.905 0.188
2 Ac 0.092 0.636 0.892
3 Ac 0.544 0.636 0.892
4 Ac 0.115 0.715 0.441
5 Ac 0.600 0.715 0.441
6 Ac 0.497 0.993 0.774
7 Ac 0.503 0.007 0.226
8 Ac 0.885 0.285 0.559
9 Ac 0.400 0.285 0.559
10 Ac 0.908 0.364 0.108
11 Ac 0.456 0.364 0.108
12 Ac 0.047 0.095 0.812
13 Si 0.296 0.592 0.633
14 Si 0.317 0.634 0.169
15 Si 0.000 0.000 0.500
16 Si 0.683 0.366 0.831
17 Si 0.704 0.408 0.367
18 Ge 0.753 0.000 0.000
19 Ge 0.247 0.000 0.000

As for the energy relative to the elements, uncorrected: -0.324 eV/atom.